No. 1
Density functional theory data (PBE) for a relaxed structure of KCu3.

Lattice parameters (Å, degrees): 3.1123 3.1123 7.6187 90.00 90.00 89.96
Sites, in units of the cell vectors:
Cu 0.0000 0.0000 0.9129
Cu 0.5000 0.5000 0.7500
Cu 0.0000 0.0000 0.5871
K 0.5000 0.5000 0.2500

## Properties
- distance to the lowest polymorph of the same formula (eV per formula unit) = 0.821


No. 2
Density functional theory data (PBE) for a relaxed structure of LiEr3Tl4.

Lattice parameters (Å, degrees): 3.4658 9.4781 8.2959 124.84 102.06 90.00
Sites, in units of the cell vectors:
Li 0.5000 0.0000 0.0000
Er 0.2269 0.2269 0.4537
Er 0.7731 0.7731 0.5463
Er 0.0000 0.5000 0.0000
Tl 0.3777 0.6294 0.7554
Tl 0.6223 0.3706 0.2446
Tl 0.6223 0.8740 0.2446
Tl 0.3777 0.1260 0.7554

## Properties
- distance to the lowest polymorph of the same formula (eV per formula unit) = 1.004


No. 3
Density functional theory data (PBE) for a relaxed structure of ScPO3.

Lattice parameters (Å, degrees): 3.6974 3.6974 3.6974 90.00 90.00 90.00
Sites, in units of the cell vectors:
Sc 0.5000 0.5000 0.5000
P 0.0000 0.0000 0.0000
O 0.0000 0.5000 0.0000
O 0.0000 0.0000 0.5000
O 0.5000 0.0000 0.0000

## Properties
- energy relative to the elements, uncorrected (meV/atom) = -1501


No. 4
Density functional theory data (PBE) for a relaxed structure of Dy12AlCo6.

Lattice parameters (Å, degrees): 8.3282 8.3282 8.3282 109.47 109.47 109.47
Sites, in units of the cell vectors:
Dy 0.3012 0.1082 0.8070
Dy 0.3012 0.4942 0.1930
Dy 0.6988 0.5058 0.8070
Dy 0.6988 0.8918 0.1930
Dy 0.1082 0.8070 0.3012
Dy 0.4942 0.1930 0.3012
Dy 0.5058 0.8070 0.6988
Dy 0.8918 0.1930 0.6988
Dy 0.8070 0.3012 0.1082
Dy 0.1930 0.3012 0.4942
Dy 0.8070 0.6988 0.5058
Dy 0.1930 0.6988 0.8918
Al 0.0000 0.0000 0.0000
Co 0.3864 0.5000 0.8864
Co 0.6136 0.5000 0.1136
Co 0.5000 0.8864 0.3864
Co 0.5000 0.1136 0.6136
Co 0.8864 0.3864 0.5000
Co 0.1136 0.6136 0.5000


No. 5
Density functional theory data (PBE) for a relaxed structure of SmSi2SnIr5.

Lattice parameters (Å, degrees): 4.0531 4.0531 10.6183 90.00 90.00 90.00
Sites, in units of the cell vectors:
Sm 0.0000 0.0000 0.5000
Si 0.5000 0.5000 0.2806
Si 0.5000 0.5000 0.7194
Sn 0.0000 0.0000 0.0000
Ir 0.0000 0.5000 0.1690
Ir 0.5000 0.0000 0.1690
Ir 0.0000 0.5000 0.8310
Ir 0.5000 0.0000 0.8310
Ir 0.5000 0.5000 0.5000

## Properties
- energy relative to the elements, uncorrected (meV/atom) = -364


No. 6
Density functional theory data (PBE) for a relaxed structure of Y2TlIO8.

Lattice parameters (Å, degrees): 4.9296 4.9309 7.1043 90.00 90.00 92.69
Sites, in units of the cell vectors:
Y 0.5000 0.5000 0.7539
Y 0.5000 0.5000 0.2461
Tl 0.0000 0.0000 0.5000
I 0.0000 0.0000 0.0000
O 0.1826 0.8164 0.1962
O 0.7203 0.7217 0.0000
O 0.8174 0.1836 0.1962
O 0.8174 0.1836 0.8038
O 0.2797 0.2783 0.0000
O 0.1826 0.8164 0.8038
O 0.6970 0.6971 0.5000
O 0.3030 0.3029 0.5000

## Properties
- energy relative to the elements, uncorrected (meV/atom) = -1745


| no. | electronic total energy (eV per atom) |
| --- | --- |
| 1 | -2.960 |
| 2 | -3.314 |
| 3 | -6.824 |
| 4 | -5.571 |
| 5 | -7.461 |
| 6 | -6.454 |